## LaSeSN2 (PBE)

Data for crystalline LaSeSN2 at its relaxed geometry.

Properties
space-group type	P4/mmm
energy relative to the lowest polymorph listed for this composition	284	meV per atom
energy relative to the elements, uncorrected	0.51	eV per atom

Cell: 4.1144 4.1144 4.7035 Å, 90.00 90.00 90.00°
Closest atoms and distances in Å follow each position.
Element x y z (fractional)
La1 0.0000 0.0000 0.0000  4 Se 2.91, 8 N 3.12
Se1 0.5000 0.5000 0.0000  2 S 2.35
S1 0.5000 0.5000 0.5000  4 N 2.06
N1 0.0000 0.5000 0.5000  2 S 2.06
N2 0.5000 0.0000 0.5000  2 S 2.06